A plane-wave DFT calculation with PBE was carried out for a relaxed structure of Ba4Pa3ZnN8.

a = 7.2335 Å, b = 7.6394 Å, c = 7.2414 Å
α = 118.26°, β = 119.96°, γ = 90.00°
Fractional positions:
1 Ba 0.5000 0.0000 0.0000
2 Ba 0.5000 0.0000 0.5000
3 Ba 0.0000 0.0000 0.0000
4 Ba 0.0000 0.0000 0.5000
5 Pa 0.5000 0.5000 0.0000
6 Pa 0.5000 0.5000 0.5000
7 Pa 0.0000 0.5000 0.5000
8 Zn 0.0000 0.5000 0.0000
9 N 0.2413 0.6839 0.9424
10 N 0.2422 0.6845 0.4844
11 N 0.2734 0.3200 0.5468
12 N 0.7011 0.6839 0.9424
13 N 0.2989 0.3161 0.0576
14 N 0.7266 0.6800 0.4532
15 N 0.7578 0.3155 0.5156
16 N 0.7587 0.3161 0.0576

Calculated values
Its space group is C2/m, No. 12. As for the uncorrected formation energy: -953 meV/atom. As for the crystal system: monoclinic.